1.
ScRuRh3 at its PBEsol-relaxed geometry. Source: Alexandria, functional SCAN.

ΔH_f (0 K), meV per atom: 1236.6

abc: 4.4806 4.4806 4.4806
angles: 90.00 90.00 90.00
Last column: nearest neighbours and their distance in Å.
Space group Pm-3m (No. 221)
One atom of each set of equivalent atoms:
Sc 0.0000 0.0000 0.0000 x1  6 Rh 2.24
Ru 0.5000 0.5000 0.5000 x1  12 Rh 3.17
Rh 0.0000 0.0000 0.5000 x3  2 Sc 2.24



2.
NbAuBr2 at its PBEsol-relaxed geometry. Source: Alexandria, functional SCAN.

abc: 6.7187 6.7187 6.7187
angles: 90.00 90.00 90.00
Last column: nearest neighbours and their distance in Å.
Space group Fm-3m (No. 225)
One atom of each set of equivalent atoms:
Nb 0.0000 0.0000 0.0000 x4  8 Br 2.91
Au 0.0000 0.0000 0.5000 x4  8 Br 2.91
Br 0.2500 0.2500 0.2500 x8  4 Nb 2.91, 4 Au 2.91



3.
Rb3SnIr at its PBEsol-relaxed geometry. Source: Alexandria, functional SCAN.

ΔH_f (0 K), meV per atom: 802.2

abc: 6.1712 6.1712 6.1712
angles: 90.00 90.00 90.00
Last column: nearest neighbours and their distance in Å.
Space group Pm-3m (No. 221)
One atom of each set of equivalent atoms:
Rb 0.0000 0.0000 0.5000 x3  2 Ir 3.09
Sn 0.5000 0.5000 0.5000 x1  12 Rb 4.36
Ir 0.0000 0.0000 0.0000 x1  6 Rb 3.09



4.
LiCuNi6 at its PBEsol-relaxed geometry. Source: Alexandria, functional SCAN.

ΔH_f (0 K), meV per atom: 58.4

abc: 6.9390 9.8187 9.8111
angles: 90.00 90.00 90.00
Last column: nearest neighbours and their distance in Å.
Space group Cmmm (No. 65)
One atom of each set of equivalent atoms:
Li 0.0000 0.0000 0.2492 x4  12 Ni 2.45-2.46
Li 0.0000 0.2505 0.0000 x4  12 Ni 2.45-2.46
Cu 0.0000 0.2481 0.5000 x4  12 Ni 2.44-2.47
Cu 0.0000 0.5000 0.2487 x4  12 Ni 2.44-2.47
Ni 0.0000 0.0000 0.0000 x2  4 Li 2.45-2.46, 8 Ni 2.45
Ni 0.0000 0.0000 0.5000 x2  2 Cu 2.44, 8 Ni 2.46, 2 Li 2.46
Ni 0.0000 0.2501 0.2494 x8  2 Li 2.45-2.46, 8 Ni 2.45-2.46, 2 Cu 2.45-2.46
Ni 0.0000 0.5000 0.0000 x2  2 Cu 2.44, 2 Li 2.45, 8 Ni 2.45
Ni 0.0000 0.5000 0.5000 x2  8 Ni 2.46, 4 Cu 2.47
Ni 0.2496 0.1250 0.1245 x16  8 Ni 2.44-2.45, 3 Li 2.45, 1 Cu 2.45
Ni 0.2503 0.1250 0.3744 x16  3 Cu 2.45-2.46, 8 Ni 2.45-2.46, 1 Li 2.46



5.
LiMg3 at its PBEsol-relaxed geometry. Source: Alexandria, functional SCAN.

ΔH_f (0 K), meV per atom: -18.3

abc: 6.9540 6.9540 6.9540
angles: 90.00 90.00 90.00
Last column: nearest neighbours and their distance in Å.
Space group Fm-3m (No. 225)
One atom of each set of equivalent atoms:
Li 0.0000 0.0000 0.0000 x4  8 Mg 3.01
Mg 0.0000 0.0000 0.5000 x4  8 Mg 3.01
Mg 0.2500 0.2500 0.2500 x8  4 Li 3.01, 4 Mg 3.01



6.
CdIn4Br at its PBEsol-relaxed geometry. Source: Alexandria, functional SCAN.

abc: 8.6721 8.6721 8.6721
angles: 90.00 90.00 90.00
Last column: nearest neighbours and their distance in Å.
Space group F-43m (No. 216)
One atom of each set of equivalent atoms:
Cd 0.0000 0.0000 0.0000 x4  12 In 3.59, 4 Br 3.76
In 0.1252 0.1252 0.3748 x16  6 In 3.06-3.07
Br 0.2500 0.2500 0.7500 x4  12 In 3.60, 4 Cd 3.76



7.
KRb2As at its PBEsol-relaxed geometry. Source: Alexandria, functional SCAN.

ΔH_f (0 K), meV per atom: -79.9

abc: 5.3336 5.3336 23.3469
angles: 90.00 90.00 90.00
Last column: nearest neighbours and their distance in Å.
Space group I-42d (No. 122)
One atom of each set of equivalent atoms:
K 0.0000 0.0000 0.0000 x4  4 Rb 3.53, 4 As 3.77
Rb 0.2240 0.2500 0.6250 x8  2 As 3.42, 2 K 3.53, 2 Rb 3.58
As 0.0000 0.0000 0.5000 x4  4 Rb 3.42, 4 K 3.77



8.
SrYAg2 at its PBEsol-relaxed geometry. Source: Alexandria, functional SCAN.

ΔH_f (0 K), meV per atom: -112.7
Energy above the lowest structure with this stoichiometry, eV/atom: 0.180

abc: 4.6325 4.6325 19.5289
angles: 90.00 90.00 120.00
Last column: nearest neighbours and their distance in Å.
Space group R3m (No. 160, hexagonal axes)
One atom of each set of equivalent atoms:
Sr 0.0000 0.0000 0.0000 x3  6 Ag 3.38-3.44, 1 Y 3.56
Y 0.0000 0.0000 0.8179 x3  6 Ag 3.02-3.06
Ag 0.0000 0.0000 0.2230 x3  3 Ag 2.68
Ag 0.0000 0.0000 0.5606 x3  3 Ag 2.68



Spin magnetization list, top to bottom, in μB/cell: 4.5 0.0 4.0 28.3 0.0 0.0 0.0 0.0
VASP energy list, top to bottom, in eV for the cell shown: -144.195 -557.321 -165.227 -913.296 -69.537 -732.828 -281.271 -339.909